# 1
Density functional theory data (PBE-GGA) for an optimized crystal structure of Ba2CaReO6.

Properties
The total energy is -7.301 eV/atom. For the density of states at the Fermi level, the calculation gives 0.3865 states/eV per atom. Its uncorrected formation energy is -2.496 eV/atom. The calculation puts the spin magnetization at 1.67 μB per cell.

Lattice parameters (Å, degrees): 5.984 5.984 8.488 90.00 90.00 90.00
Space group I4/m (No. 87)
Unique sites:
Ba (0.000, 0.500, 0.250) x4
Ca (0.000, 0.000, 0.000) x2
Re (0.000, 0.000, 0.500) x2
O (0.000, 0.000, 0.271) x4
O (0.211, 0.247, 0.500) x8

# 2
Density functional theory data (PBE-GGA) for an optimized crystal structure of LiCuI2O.

Properties
The total energy is -2.673 eV/atom. The energy above the most stable polymorph in this dataset is 0.472 eV per atom. For the density of states at the Fermi level, the calculation gives 1.3446 states/eV per atom. Its uncorrected formation energy is 0.141 eV/atom. The calculation puts the spin magnetization at 0.00 μB per cell.

Lattice parameters (Å, degrees): 5.515 5.515 3.472 90.00 90.00 90.00
Space group P4/mmm (No. 123)
Unique sites:
Li (0.000, 0.000, 0.000) x1
Cu (0.500, 0.500, 0.500) x1
I (0.000, 0.500, 0.000) x2
O (0.000, 0.000, 0.500) x1

# 3
Density functional theory data (PBE-GGA) for an optimized crystal structure of CdAgO.

Properties
The total energy is -3.325 eV/atom. The energy above the most stable polymorph in this dataset is 0.103 eV per atom. For the density of states at the Fermi level, the calculation gives 0.2516 states/eV per atom. Its uncorrected formation energy is -0.417 eV/atom. The calculation puts the spin magnetization at 0.00 μB per cell.

Lattice parameters (Å, degrees): 11.399 3.180 5.554 90.00 90.00 90.00
Space group Pnma (No. 62)
Unique sites:
Cd (0.164, 0.250, 0.205) x4
Ag (0.052, 0.250, 0.683) x4
O (0.170, 0.750, 0.913) x4

# 4
Density functional theory data (PBE-GGA) for an optimized crystal structure of CaTlAu2.

Properties
The total energy is -3.081 eV/atom. For the density of states at the Fermi level, the calculation gives 0.4614 states/eV per atom. The calculation puts the spin magnetization at 0.00 μB per cell.

Lattice parameters (Å, degrees): 4.1989 4.1989 21.6204 90.00 90.00 120.00
Space group R3m (No. 160, hexagonal axes)
Unique sites:
Ca (0.0000, 0.0000, 0.0000) x3
Tl (0.0000, 0.0000, 0.1686) x3
Au (0.0000, 0.0000, 0.4184) x3
Au (0.0000, 0.0000, 0.5829) x3

# 5
Density functional theory data (PBE-GGA) for an optimized crystal structure of HfI2NF.

Properties
The total energy is -4.901 eV/atom. The energy above the most stable polymorph in this dataset is 0.000 eV per atom. For the density of states at the Fermi level, the calculation gives 1.6212 states/eV per atom. Its uncorrected formation energy is -0.251 eV/atom. The calculation puts the spin magnetization at 0.69 μB per cell.

Lattice parameters (Å, degrees): 5.688 5.688 4.106 90.00 90.00 90.00
Space group P4/mmm (No. 123)
Unique sites:
Hf (0.000, 0.000, 0.000) x1
I (0.000, 0.500, 0.000) x2
N (0.000, 0.000, 0.500) x1
F (0.500, 0.500, 0.500) x1

# 6
Density functional theory data (PBE-GGA) for an optimized crystal structure of Dy3Y2Tm5.

Properties
The total energy is -4.705 eV/atom. The energy above the most stable polymorph in this dataset is 0.000 eV per atom. For the density of states at the Fermi level, the calculation gives 1.7871 states/eV per atom. The calculation puts the spin magnetization at 0.00 μB per cell.

Lattice parameters (Å, degrees): 10.585 15.464 9.447 90.00 124.03 90.00
Space group C2/c (No. 15)
Unique sites:
Dy (0.000, 0.021, 0.250) x4
Dy (0.146, 0.372, 0.549) x8
Y (0.152, 0.127, 0.048) x8
Tm (0.000, 0.224, 0.250) x4
Tm (0.000, 0.275, 0.750) x4
Tm (0.000, 0.481, 0.750) x4
Tm (0.245, 0.132, 0.739) x8

# 7
Density functional theory data (PBE-GGA) for an optimized crystal structure of TmPaSe4.

Properties
The total energy is -6.102 eV/atom. The energy above the most stable polymorph in this dataset is 0.095 eV per atom. Its uncorrected formation energy is -1.452 eV/atom. The calculation puts the spin magnetization at 0.13 μB per cell.

Lattice parameters (Å, degrees): 9.205 9.382 4.254 90.00 90.00 90.00
Space group Cmmm (No. 65)
Unique sites:
Tm (0.000, 0.000, 0.000) x2
Pa (0.000, 0.500, 0.500) x2
Se (0.000, 0.307, 0.000) x4
Se (0.200, 0.000, 0.500) x4

# 8
Density functional theory data (PBE-GGA) for an optimized crystal structure of Zn3SeF.

Properties
The total energy is -2.644 eV/atom. The energy above the most stable polymorph in this dataset is 0.000 eV per atom. Its uncorrected formation energy is -0.808 eV/atom. The calculation puts the spin magnetization at 0.00 μB per cell.

Lattice parameters (Å, degrees): 4.586 6.445 7.563 65.91 72.63 69.63
Space group P1 (No. 1)
Unique sites:
Zn (0.000, 0.000, 0.000) x1
Zn (0.019, 0.019, 0.641) x1
Zn (0.322, 0.223, 0.320) x1
Zn (0.432, 0.115, 0.707) x1
Zn (0.523, 0.655, 0.317) x1
Zn (0.782, 0.670, 0.785) x1
Se (0.431, 0.530, 0.669) x1
Se (0.810, 0.389, 0.131) x1
F (0.080, 0.735, 0.256) x1
F (0.526, 0.990, 0.146) x1

# 9
Density functional theory data (PBE-GGA) for an optimized crystal structure of Ni6IrRh.

Properties
The total energy is -6.320 eV/atom. The energy above the most stable polymorph in this dataset is 0.002 eV per atom. For the density of states at the Fermi level, the calculation gives 1.9357 states/eV per atom. The calculation puts the spin magnetization at 6.19 μB per cell.

Lattice parameters (Å, degrees): 5.1460 5.1460 4.1673 90.00 90.00 120.00
Space group P-6m2 (No. 187)
Unique sites:
Ni (0.0062, 0.5031, 0.0000) x3
Ni (0.1683, 0.3365, 0.5000) x3
Ir (0.0000, 0.0000, 0.0000) x1
Rh (0.6667, 0.3333, 0.5000) x1

# 10
Density functional theory data (PBE-GGA) for an optimized crystal structure of Sr3Zn2Pb3.

Properties
The total energy is -2.762 eV/atom. For the density of states at the Fermi level, the calculation gives 0.2792 states/eV per atom. The calculation puts the spin magnetization at 0.00 μB per cell.

Lattice parameters (Å, degrees): 4.951 11.998 16.537 90.00 90.00 90.00
Space group Cmcm (No. 63)
Unique sites:
Sr (0.000, 0.084, 0.110) x8
Sr (0.000, 0.360, 0.250) x4
Zn (0.000, 0.213, 0.604) x8
Pb (0.000, 0.344, 0.750) x4
Pb (0.000, 0.372, 0.035) x8

# 11
Density functional theory data (PBE-GGA) for an optimized crystal structure of BeFeCu2.

Properties
The total energy is -4.708 eV/atom. For the density of states at the Fermi level, the calculation gives 0.5139 states/eV per atom. The calculation puts the spin magnetization at 9.05 μB per cell.

Lattice parameters (Å, degrees): 3.327 3.327 17.069 90.00 90.00 90.00
Space group I-42d (No. 122)
Unique sites:
Be (0.000, 0.000, 0.000) x4
Fe (0.000, 0.000, 0.500) x4
Cu (0.242, 0.250, 0.125) x8

# 12
Density functional theory data (PBE-GGA) for an optimized crystal structure of Th4Te3Se4.

Properties
The total energy is -6.237 eV/atom. The energy above the most stable polymorph in this dataset is 0.102 eV per atom. For the density of states at the Fermi level, the calculation gives 0.3915 states/eV per atom. Its uncorrected formation energy is -1.415 eV/atom. The calculation puts the spin magnetization at 1.83 μB per cell.

Lattice parameters (Å, degrees): 10.714 4.299 14.134 90.00 90.00 90.00
Space group Amm2 (No. 38)
Unique sites:
Th (0.000, 0.000, 0.000) x2
Th (0.230, 0.000, 0.755) x4
Th (0.500, 0.000, 0.028) x2
Te (0.000, 0.000, 0.331) x2
Te (0.328, 0.000, 0.406) x4
Se (0.000, 0.000, 0.636) x2
Se (0.246, 0.000, 0.110) x4
Se (0.500, 0.000, 0.679) x2

# 13
Density functional theory data (PBE-GGA) for an optimized crystal structure of Sr3PmHg12.

Properties
The total energy is -1.213 eV/atom. For the density of states at the Fermi level, the calculation gives 0.6540 states/eV per atom. The calculation puts the spin magnetization at 0.00 μB per cell.

Lattice parameters (Å, degrees): 4.814 4.814 19.254 90.00 90.00 90.00
Space group P4/mmm (No. 123)
Unique sites:
Sr (0.000, 0.000, 0.000) x1
Sr (0.000, 0.000, 0.254) x2
Pm (0.000, 0.000, 0.500) x1
Hg (0.000, 0.500, 0.127) x4
Hg (0.000, 0.500, 0.383) x4
Hg (0.500, 0.500, 0.000) x1
Hg (0.500, 0.500, 0.256) x2
Hg (0.500, 0.500, 0.500) x1

# 14
Density functional theory data (PBE-GGA) for an optimized crystal structure of Li2AlCuF6.

Properties
The total energy is -5.050 eV/atom. The energy above the most stable polymorph in this dataset is 0.000 eV per atom. Its uncorrected formation energy is -2.761 eV/atom. The calculation puts the spin magnetization at 0.32 μB per cell.

Lattice parameters (Å, degrees): 5.1483 5.1483 14.0050 90.00 90.00 120.00
Space group R3 (No. 146, hexagonal axes)
Unique sites:
Li (0.0000, 0.0000, 0.0000) x3
Li (0.0000, 0.0000, 0.4736) x3
Al (0.0000, 0.0000, 0.7931) x3
Cu (0.0000, 0.0000, 0.2492) x3
F (0.0006, 0.3021, 0.7270) x9
F (0.0701, 0.7004, 0.5437) x9

# 15
Density functional theory data (PBE-GGA) for an optimized crystal structure of Cr4Ge2N.

Properties
The total energy is -8.108 eV/atom. For the density of states at the Fermi level, the calculation gives 0.8112 states/eV per atom. Its uncorrected formation energy is -0.101 eV/atom. The calculation puts the spin magnetization at 6.65 μB per cell.

Lattice parameters (Å, degrees): 3.785 3.785 12.646 90.00 90.00 90.00
Space group I4/mmm (No. 139)
Unique sites:
Cr (0.000, 0.000, 0.162) x4
Cr (0.000, 0.500, 0.000) x4
Ge (0.000, 0.000, 0.358) x4
N (0.000, 0.000, 0.000) x2

# 16
Density functional theory data (PBE-GGA) for an optimized crystal structure of TcAg2P.

Properties
The total energy is -5.348 eV/atom. For the density of states at the Fermi level, the calculation gives 0.6695 states/eV per atom. The calculation puts the spin magnetization at 0.00 μB per cell.

Lattice parameters (Å, degrees): 3.116 3.072 13.803 90.00 90.00 90.00
Space group Amm2 (No. 38)
Unique sites:
Tc (0.000, 0.000, 0.000) x2
Ag (0.000, 0.000, 0.286) x2
Ag (0.500, 0.000, 0.648) x2
P (0.500, 0.000, 0.435) x2

# 17
Density functional theory data (PBE-GGA) for an optimized crystal structure of Er2TmScRh4.

Properties
The total energy is -7.126 eV/atom. For the density of states at the Fermi level, the calculation gives 0.3748 states/eV per atom. The calculation puts the spin magnetization at 0.00 μB per cell.

Lattice parameters (Å, degrees): 4.7373 4.7373 23.2307 90.00 90.00 120.00
Space group R-3m (No. 166, hexagonal axes)
Unique sites:
Er (0.0000, 0.0000, 0.2485) x6
Tm (0.0000, 0.0000, 0.0000) x3
Sc (0.0000, 0.0000, 0.5000) x3
Rh (0.0000, 0.0000, 0.1265) x6
Rh (0.0000, 0.0000, 0.3769) x6

# 18
Density functional theory data (PBE-GGA) for an optimized crystal structure of LiAg2.

Properties
The total energy is -2.700 eV/atom. The energy above the most stable polymorph in this dataset is 0.000 eV per atom. For the density of states at the Fermi level, the calculation gives 0.2222 states/eV per atom. The calculation puts the spin magnetization at 0.00 μB per cell.

Lattice parameters (Å, degrees): 5.706 4.165 8.468 90.00 90.00 90.00
Space group Pnma (No. 62)
Unique sites:
Li (0.153, 0.250, 0.092) x4
Ag (0.096, 0.250, 0.761) x4
Ag (0.145, 0.250, 0.422) x4

# 19
Density functional theory data (PBE-GGA) for an optimized crystal structure of BaSbS2N.

Properties
The total energy is -3.476 eV/atom. The energy above the most stable polymorph in this dataset is 1.422 eV per atom. For the density of states at the Fermi level, the calculation gives 0.7225 states/eV per atom. Its uncorrected formation energy is 1.049 eV/atom. The calculation puts the spin magnetization at 1.98 μB per cell.

Lattice parameters (Å, degrees): 5.885 5.885 5.042 90.00 90.00 90.00
Space group P4/mmm (No. 123)
Unique sites:
Ba (0.000, 0.000, 0.000) x1
Sb (0.500, 0.500, 0.500) x1
S (0.000, 0.500, 0.000) x2
N (0.000, 0.000, 0.500) x1

# 20
Density functional theory data (PBE-GGA) for an optimized crystal structure of ErUS2.

Properties
The total energy is -7.682 eV/atom. The energy above the most stable polymorph in this dataset is 0.000 eV per atom. For the density of states at the Fermi level, the calculation gives 1.1475 states/eV per atom. Its uncorrected formation energy is -1.656 eV/atom. The calculation puts the spin magnetization at 7.51 μB per cell.

Lattice parameters (Å, degrees): 3.8035 3.8035 19.5702 90.00 90.00 120.00
Space group R-3m (No. 166, hexagonal axes)
Unique sites:
Er (0.0000, 0.0000, 0.0000) x3
U (0.0000, 0.0000, 0.5000) x3
S (0.0000, 0.0000, 0.2520) x6